No. 1
# Ba4SnN4

Crystalline Ba4SnN4 at its relaxed geometry (PBE, Alexandria).

a b c (Å): 6.870 7.033 9.872
angles (deg): 72.23 80.39 66.83
Element x y z (fractional)
1 Ba 0.215 0.465 0.116
2 Ba 0.226 0.930 0.341
3 Ba 0.256 0.272 0.535
4 Ba 0.282 0.992 0.939
5 Ba 0.718 0.008 0.061
6 Ba 0.744 0.728 0.465
7 Ba 0.774 0.070 0.659
8 Ba 0.785 0.535 0.884
9 Sn 0.274 0.656 0.743
10 Sn 0.726 0.344 0.257
11 N 0.023 0.814 0.884
12 N 0.084 0.685 0.581
13 N 0.453 0.337 0.865
14 N 0.476 0.841 0.683
15 N 0.524 0.159 0.317
16 N 0.547 0.663 0.135
17 N 0.916 0.315 0.419
18 N 0.977 0.186 0.116

## Properties
Formation energy (no corrections) ... -0.36 eV/atom
M_tot ... 0.00 μB per cell

---

No. 2
# TmMgBi2

Crystalline TmMgBi2 at its relaxed geometry (PBE, Alexandria).

a b c (Å): 5.124 5.124 4.180
angles (deg): 90.00 90.00 90.00
Element x y z (fractional)
1 Tm 0.000 0.000 0.000
2 Mg 0.500 0.500 0.000
3 Bi 0.000 0.500 0.500
4 Bi 0.500 0.000 0.500

## Properties
M_tot ... 0.00 μB per cell
Energy of formation ... -0.365 eV per atom
E above lowest polymorph ... 35 meV per atom

---

No. 3
# CdRe2Ag

Crystalline CdRe2Ag at its relaxed geometry (PBE, Alexandria).

a b c (Å): 2.728 4.957 5.021
angles (deg): 90.00 95.70 90.00
Element x y z (fractional)
1 Cd 0.000 0.000 0.000
2 Re 0.317 0.500 0.758
3 Re 0.683 0.500 0.242
4 Ag 0.500 0.000 0.500

## Properties
M_tot ... 0.00 μB per cell
Energy of formation ... 0.687 eV per atom

---

No. 4
# HoSnN

Crystalline HoSnN at its relaxed geometry (PBE, Alexandria).

a b c (Å): 7.962 7.962 6.455
angles (deg): 90.00 90.00 90.00
Element x y z (fractional)
1 Ho 0.000 0.231 0.000
2 Ho 0.000 0.769 0.000
3 Ho 0.231 0.000 0.500
4 Ho 0.769 0.000 0.500
5 Sn 0.000 0.324 0.500
6 Sn 0.000 0.676 0.500
7 Sn 0.324 0.000 0.000
8 Sn 0.676 0.000 0.000
9 N 0.080 0.500 0.000
10 N 0.500 0.080 0.500
11 N 0.500 0.920 0.500
12 N 0.920 0.500 0.000

## Properties
Formation energy (no corrections) ... -0.03 eV/atom
M_tot ... 0.00 μB per cell
E above lowest polymorph ... 774 meV per atom

---

No. 5
# Al2Cu3Au3

Crystalline Al2Cu3Au3 at its relaxed geometry (PBE, Alexandria).

a b c (Å): 6.486 6.486 4.709
angles (deg): 111.16 111.16 41.79
Element x y z (fractional)
1 Al 0.249 0.249 0.248
2 Al 0.751 0.751 0.752
3 Cu 0.000 0.000 0.000
4 Cu 0.118 0.118 0.615
5 Cu 0.882 0.882 0.385
6 Au 0.359 0.359 0.859
7 Au 0.500 0.500 0.500
8 Au 0.641 0.641 0.141

## Properties
M_tot ... 0.00 μB per cell
Energy of formation ... -0.172 eV per atom
E above lowest polymorph ... 40 meV per atom

---

No. 6
# BeAsCl2

Crystalline BeAsCl2 at its relaxed geometry (PBE, Alexandria).

a b c (Å): 4.685 4.685 4.685
angles (deg): 60.00 60.00 60.00
Element x y z (fractional)
1 Be 0.000 0.000 0.000
2 As 0.250 0.250 0.250
3 Cl 0.500 0.500 0.500
4 Cl 0.750 0.750 0.750

## Properties
Formation energy (no corrections) ... 0.71 eV/atom
M_tot ... 0.00 μB per cell
E above lowest polymorph ... 1236 meV per atom